Entry 1:
DFT (PBE) results for a geometry-optimized Li2AcYF8 structure.

Values from the calculation:
mass density: 4.431 g/cm³
crystal system: monoclinic
E_form (uncorrected): -44.0 eV/f.u.
calculated volume: 15.0 Å³ per atom
DFT total energy: -6.111 eV/atom

Lattice parameters (Å, degrees): 7.652 5.893 8.011 90.00 91.52 90.00
Space group C2/m (No. 12)
Inequivalent atoms, fractional coordinates:
Li 0.103 0.000 0.267 x4
Ac 0.000 0.500 0.000 x2
Y 0.000 0.500 0.500 x2
F 0.003 0.282 0.731 x8
F 0.191 0.000 0.046 x4
F 0.218 0.000 0.475 x4

Entry 2:
DFT (PBE) results for a geometry-optimized PuMgSb2 structure.

Values from the calculation:
mass density: 8.209 g/cm³
crystal system: tetragonal
energy relative to the lowest polymorph listed for this composition: 0.000 eV per atom
E_form (uncorrected): -2.0 eV/f.u.
calculated volume: 25.9 Å³ per atom
DFT total energy: -6.547 eV/atom

Lattice parameters (Å, degrees): 4.406 4.406 10.667 90.00 90.00 90.00
Space group P4/nmm (No. 129, origin choice 2)
Inequivalent atoms, fractional coordinates:
Pu 0.250 0.250 0.224 x2
Mg 0.250 0.750 0.500 x2
Sb 0.250 0.250 0.686 x2
Sb 0.250 0.750 0.000 x2

Entry 3:
DFT (PBE) results for a geometry-optimized CdTeSCl2 structure.

Values from the calculation:
mass density: 4.153 g/cm³
crystal system: tetragonal
energy relative to the lowest polymorph listed for this composition: 0.064 eV per atom
E_form (uncorrected): 0.2 eV/f.u.
calculated volume: 27.4 Å³ per atom
DFT total energy: -2.330 eV/atom

Lattice parameters (Å, degrees): 4.950 4.950 5.598 90.00 90.00 90.00
Space group P4/mmm (No. 123)
Inequivalent atoms, fractional coordinates:
Cd 0.000 0.000 0.000 x1
Te 0.500 0.500 0.500 x1
S 0.000 0.000 0.500 x1
Cl 0.000 0.500 0.000 x2

Entry 4:
DFT (PBE) results for a geometry-optimized Mn2TlPb structure.

Values from the calculation:
mass density: 10.281 g/cm³
crystal system: tetragonal
E_form: 51 kJ/mol of atoms
calculated volume: 21.1 Å³ per atom
DFT total energy: -5.576 eV/atom

Lattice parameters (Å, degrees): 4.578 4.578 8.037 90.00 90.00 90.00
Space group I4/mmm (No. 139)
Inequivalent atoms, fractional coordinates:
Mn 0.000 0.500 0.250 x4
Tl 0.000 0.000 0.000 x2
Pb 0.000 0.000 0.500 x2

Entry 5:
DFT (PBE) results for a geometry-optimized Er5Ge3 structure.

Values from the calculation:
mass density: 8.998 g/cm³
crystal system: hexagonal
energy relative to the lowest polymorph listed for this composition: 0.000 eV per atom
E_form: -78 kJ/mol of atoms
calculated volume: 24.3 Å³ per atom
DFT total energy: -5.390 eV/atom

Lattice parameters (Å, degrees): 8.4216 8.4216 6.3352 90.00 90.00 120.00
Space group P6_3/mcm (No. 193)
Inequivalent atoms, fractional coordinates:
Er 0.0000 0.2413 0.2500 x6
Er 0.3333 0.6667 0.0000 x4
Ge 0.0000 0.3939 0.7500 x6

Entry 6:
DFT (PBE) results for a geometry-optimized ThNpTl2O6 structure.

Values from the calculation:
mass density: 9.371 g/cm³
crystal system: orthorhombic
E_form (uncorrected): -24.7 eV/f.u.
calculated volume: 17.3 Å³ per atom
DFT total energy: -7.953 eV/atom

Lattice parameters (Å, degrees): 6.249 8.838 6.249 90.00 90.00 90.00
Space group Pmmn (No. 59, origin choice 2)
Inequivalent atoms, fractional coordinates:
Th 0.250 0.250 0.250 x2
Np 0.250 0.750 0.250 x2
Tl 0.250 0.000 0.750 x4
O 0.013 0.750 0.013 x4
O 0.013 0.750 0.486 x4
O 0.250 0.513 0.250 x4

The lowest calculated volume belongs to which entry? Li2AcYF8

Among the records above, which one has the highest mass density? Mn2TlPb

Number 4 is which compound? Mn2TlPb

calculated volume of number 1 (Li2AcYF8)? 15.0 Å³ per atom